1.
MgRe2Sn PBE optimized geometry; energy relative to the lowest polymorph listed for this composition = 47.1 kJ per mole of atoms; total magnetic moment = 1.5 μB per formula unit; total DFT energy (no corrections) = -6.47 eV/atom
1.0
-3.792 3.792 2.668
3.792 -3.792 2.668
3.792 3.792 -2.668
Mg Re Sn
2 4 2
direct
0.000 0.000 0.000 Mg
0.750 0.250 0.500 Mg
0.143 0.625 0.018 Re
0.375 0.393 0.518 Re
0.607 0.125 0.982 Re
0.875 0.857 0.482 Re
0.250 0.750 0.500 Sn
0.500 0.500 0.000 Sn

=====

2.
NdHo3Er PBE optimized geometry; energy relative to the lowest polymorph listed for this composition = 27.4 kJ per mole of atoms; total magnetic moment = 0.0 μB per formula unit; total DFT energy (no corrections) = -4.32 eV/atom
1.0
3.607 0.000 0.000
0.000 11.493 0.000
-1.780 0.000 8.346
Nd Ho Er
2 6 2
direct
0.080 0.250 0.494 Nd
0.920 0.750 0.506 Nd
0.159 0.000 0.815 Ho
0.159 0.500 0.815 Ho
0.351 0.250 0.149 Ho
0.649 0.750 0.851 Ho
0.841 0.000 0.185 Ho
0.841 0.500 0.185 Ho
0.304 0.750 0.165 Er
0.696 0.250 0.835 Er

=====

3.
SrCa3Cr PBE optimized geometry; energy relative to the lowest polymorph listed for this composition = 72.2 kJ per mole of atoms; total magnetic moment = 7.5 μB per formula unit; total DFT energy (no corrections) = -2.05 eV/atom
1.0
6.381 0.000 0.000
0.000 6.381 0.000
0.000 0.000 6.381
Sr Ca Cr
1 3 1
direct
0.000 0.000 0.000 Sr
0.000 0.000 0.500 Ca
0.000 0.500 0.000 Ca
0.500 0.000 0.000 Ca
0.500 0.500 0.500 Cr

=====

4.
SrAcCu2H8 PBE optimized geometry; total magnetic moment = 0.0 μB per formula unit; total DFT energy (no corrections) = -3.64 eV/atom
1.0
2.401 1.386 7.023
-2.401 1.386 7.023
0.000 -2.773 7.023
Sr Ac Cu H
1 1 2 8
direct
0.000 0.000 0.000 Sr
0.500 0.500 0.500 Ac
0.245 0.245 0.245 Cu
0.755 0.755 0.755 Cu
0.088 0.548 0.549 H
0.166 0.166 0.166 H
0.452 0.452 0.912 H
0.452 0.912 0.452 H
0.548 0.088 0.548 H
0.548 0.548 0.088 H
0.834 0.834 0.834 H
0.912 0.452 0.452 H

=====

5.
TaAlSbTe2 PBE optimized geometry; formation energy from raw total energies = 397 meV/atom; energy relative to the lowest polymorph listed for this composition = 0.0 kJ per mole of atoms; total magnetic moment = 0.0 μB per formula unit; total DFT energy (no corrections) = -4.80 eV/atom
1.0
5.427 0.000 0.000
0.000 5.427 0.000
0.000 0.000 5.442
Ta Al Sb Te
1 1 1 2
direct
0.000 0.000 0.000 Ta
0.500 0.500 0.500 Al
0.000 0.000 0.500 Sb
0.000 0.500 0.000 Te
0.500 0.000 0.000 Te

=====

6.
ErGa2Ni PBE optimized geometry; total magnetic moment = 0.0 μB per formula unit; total DFT energy (no corrections) = -4.52 eV/atom
1.0
3.150 0.000 0.000
0.000 3.150 0.000
0.000 0.000 6.819
Er Ga Ni
1 2 1
direct
0.000 0.000 0.000 Er
0.500 0.500 0.306 Ga
0.500 0.500 0.694 Ga
0.000 0.000 0.500 Ni